1.
Computed, not measured: a relaxed structure of Ti2HOsPd at the PBE level of DFT.

The structure in POSCAR format:
```
Ti2HOsPd
1.0
4.194 0.000 0.000
0.000 4.194 0.000
0.000 0.000 3.594
Ti H Os Pd
2 1 1 1
Cartesian
0.000 2.097 0.000
2.097 0.000 0.000
0.000 0.000 0.000
2.097 2.097 1.797
0.000 0.000 1.797
```

## Properties
The symmetry is P4/mmm. Its calculated volume is 12.64 Å³ per atom. As for the crystal system: tetragonal. The value obtained for the density is 10.33 g/cm3. As for the energy above the lowest structure with this stoichiometry: 0.076 eV per formula unit. The electronic total energy is -37.52 eV per formula unit.

---

2.
Computed, not measured: a relaxed structure of KPSeCl2 at the PBE level of DFT.

The structure in POSCAR format:
```
KPSeCl2
1.0
5.603 0.000 0.000
0.000 5.603 0.000
0.000 0.000 4.685
K P Se Cl
1 1 1 2
Cartesian
0.000 0.000 0.000
2.802 2.802 0.000
2.802 2.802 2.342
0.000 2.802 2.342
2.802 0.000 2.342
```

## Properties
The symmetry is P4/mmm. Its calculated volume is 29.42 Å³ per atom. As for the crystal system: tetragonal. The value obtained for the density is 2.48 g/cm3. As for the energy above the lowest structure with this stoichiometry: 0.000 eV per formula unit. The calculation puts the uncorrected formation energy at -148 kJ/mol of formula units. The electronic total energy is -15.22 eV per formula unit.

---

3.
Computed, not measured: a relaxed structure of BaHgAuCl at the PBE level of DFT.

The structure in POSCAR format:
```
BaHgAuCl
1.0
0.000 3.883 3.883
3.883 0.000 3.883
3.883 3.883 0.000
Ba Hg Au Cl
1 1 1 1
Cartesian
0.000 0.000 0.000
3.883 3.883 3.883
1.941 1.941 1.941
5.824 5.824 5.824
```

## Properties
The symmetry is F-43m. Its calculated volume is 29.27 Å³ per atom. As for the crystal system: cubic. The value obtained for the density is 8.09 g/cm3. The calculation puts the uncorrected formation energy at -411 kJ/mol of formula units. The electronic total energy is -11.60 eV per formula unit.

---

4.
Computed, not measured: a relaxed structure of AlSb2W at the PBE level of DFT.

The structure in POSCAR format:
```
AlSb2W
1.0
-2.111 2.111 4.544
2.111 -2.111 4.544
2.111 2.111 -4.544
Al Sb W
1 2 1
Cartesian
0.000 0.000 0.000
2.111 0.000 2.272
0.000 0.000 4.544
0.000 2.111 2.272
```

## Properties
The symmetry is I-4m2. Its calculated volume is 20.24 Å³ per atom. As for the crystal system: tetragonal. The value obtained for the density is 9.32 g/cm3. The calculation puts the uncorrected formation energy at 282 kJ/mol of formula units. The electronic total energy is -22.01 eV per formula unit.

---

5.
Computed, not measured: a relaxed structure of La4Se3F4 at the PBE level of DFT.

The structure in POSCAR format:
```
La4Se3F4
1.0
-1.990 4.043 7.086
1.990 -4.043 7.086
1.990 4.043 -7.086
La Se F
4 3 4
Cartesian
0.000 0.000 3.118
1.990 2.217 0.000
0.000 1.827 7.086
0.000 0.000 11.054
0.000 0.000 0.000
1.990 0.000 5.432
0.000 4.043 1.654
1.990 1.448 -2.527
1.990 1.448 2.527
0.000 2.595 4.559
0.000 2.595 9.612
```

## Properties
The symmetry is Immm. Its calculated volume is 20.73 Å³ per atom. As for the crystal system: orthorhombic. The value obtained for the density is 6.32 g/cm3. The calculation puts the uncorrected formation energy at -3124 kJ/mol of formula units. The electronic total energy is -70.03 eV per formula unit.

---

6.
Computed, not measured: a relaxed structure of BaFe3H at the PBE level of DFT.

The structure in POSCAR format:
```
BaFe3H
1.0
4.146 0.000 0.000
0.000 4.146 0.000
0.000 0.000 4.146
Ba Fe H
1 3 1
Cartesian
0.000 0.000 0.000
0.000 2.073 2.073
2.073 0.000 2.073
2.073 2.073 0.000
2.073 2.073 2.073
```

## Properties
The symmetry is Pm-3m. Its calculated volume is 14.25 Å³ per atom. As for the crystal system: cubic. The value obtained for the density is 7.13 g/cm3. As for the energy above the lowest structure with this stoichiometry: 0.000 eV per formula unit. The electronic total energy is -26.06 eV per formula unit.

---

7.
Computed, not measured: a relaxed structure of Sc2OsPb at the PBE level of DFT.

The structure in POSCAR format:
```
Sc2OsPb
1.0
3.685 0.000 0.000
0.000 3.685 0.000
0.000 0.000 6.525
Sc Os Pb
2 1 1
Cartesian
0.000 0.000 0.000
1.843 1.843 1.849
0.000 0.000 2.595
1.843 1.843 4.782
```

## Properties
The symmetry is P4mm. Its calculated volume is 22.15 Å³ per atom. As for the crystal system: tetragonal. The value obtained for the density is 9.13 g/cm3. The calculation puts the formation energy from the elements at 28 meV/atom. The electronic total energy is -27.49 eV per formula unit.

---

8.
Computed, not measured: a relaxed structure of FeTeIr2 at the PBE level of DFT.

The structure in POSCAR format:
```
FeTeIr2
1.0
1.505 0.869 8.458
-1.505 0.869 8.458
0.000 -1.738 8.458
Fe Te Ir
1 1 2
Cartesian
0.000 0.000 0.000
0.000 0.000 12.687
0.000 0.000 6.537
0.000 0.000 18.837
```

## Properties
The symmetry is R-3m. Its calculated volume is 16.59 Å³ per atom. As for the crystal system: trigonal. The value obtained for the density is 14.21 g/cm3. The calculation puts the uncorrected formation energy at 167 kJ/mol of formula units. The electronic total energy is -27.60 eV per formula unit.

---

9.
Computed, not measured: a relaxed structure of CsTaBiS4 at the PBE level of DFT.

The structure in POSCAR format:
```
CsTaBiS4
1.0
6.894 0.000 0.000
0.000 7.248 0.000
-3.168 0.000 9.300
Cs Ta Bi S
2 2 2 8
Cartesian
0.074 1.812 3.892
3.651 5.436 5.407
1.484 5.436 1.747
2.242 1.812 7.553
-1.469 1.812 8.679
5.195 5.436 0.620
-0.465 5.436 3.031
-2.409 5.436 8.845
0.954 7.245 7.193
0.954 3.627 7.193
2.772 0.003 2.107
2.772 3.621 2.107
6.135 1.812 0.454
4.191 1.812 6.269
```

## Properties
The symmetry is P2_1/m. Its calculated volume is 33.19 Å³ per atom. As for the crystal system: monoclinic. The value obtained for the density is 4.65 g/cm3. The calculation puts the uncorrected formation energy at -529 kJ/mol of formula units. The electronic total energy is -38.58 eV per formula unit.

---

10.
Computed, not measured: a relaxed structure of CaPr4Ho3Te8 at the PBE level of DFT.

The structure in POSCAR format:
```
CaPr4Ho3Te8
1.0
4.390 2.535 7.476
-4.390 2.535 7.476
0.000 -5.069 7.476
Ca Pr Ho Te
1 4 3 8
Cartesian
0.000 0.000 0.000
-4.390 0.000 11.214
-2.195 1.267 3.738
2.195 1.267 3.738
0.000 0.000 11.214
-2.195 -1.267 7.476
-2.195 1.267 14.952
0.000 2.535 7.476
0.000 -2.518 9.231
-2.181 1.259 9.231
0.000 0.000 5.731
-2.181 -1.259 13.197
2.181 1.259 9.231
0.000 0.000 16.697
2.181 -1.259 13.197
0.000 2.518 13.197
```

## Properties
The symmetry is R-3m. Its calculated volume is 31.20 Å³ per atom. As for the crystal system: trigonal. The value obtained for the density is 7.05 g/cm3. The calculation puts the uncorrected formation energy at -2145 kJ/mol of formula units. The electronic total energy is -82.22 eV per formula unit.

---

11.
Computed, not measured: a relaxed structure of Dy4TmCd3 at the PBE level of DFT.

The structure in POSCAR format:
```
Dy4TmCd3
1.0
2.663 1.538 8.928
-2.663 1.538 8.928
0.000 -3.075 8.928
Dy Tm Cd
4 1 3
Cartesian
0.000 0.000 3.100
0.000 0.000 9.926
0.000 0.000 16.858
0.000 0.000 23.683
0.000 0.000 13.392
0.000 0.000 0.000
0.000 0.000 6.443
0.000 0.000 20.341
```

## Properties
The symmetry is R-3m. Its calculated volume is 27.42 Å³ per atom. As for the crystal system: trigonal. The value obtained for the density is 8.75 g/cm3. The calculation puts the formation energy from the elements at -175 meV/atom. The electronic total energy is -27.03 eV per formula unit.

---

12.
Computed, not measured: a relaxed structure of Nd3Y12Tl at the PBE level of DFT.

The structure in POSCAR format:
```
Nd3Y12Tl
1.0
5.014 0.000 0.000
0.000 5.014 0.000
0.000 0.000 20.402
Nd Y Tl
3 12 1
Cartesian
0.000 0.000 0.000
0.000 0.000 5.130
0.000 0.000 15.271
0.000 2.507 2.588
0.000 2.507 7.761
0.000 2.507 12.641
0.000 2.507 17.814
2.507 0.000 2.588
2.507 0.000 7.761
2.507 0.000 12.641
2.507 0.000 17.814
2.507 2.507 0.000
2.507 2.507 5.246
2.507 2.507 10.201
2.507 2.507 15.156
0.000 0.000 10.201
```

## Properties
The symmetry is P4/mmm. Its calculated volume is 32.06 Å³ per atom. As for the crystal system: tetragonal. The value obtained for the density is 5.52 g/cm3. The calculation puts the formation energy from the elements at -22 meV/atom. The electronic total energy is -94.60 eV per formula unit.

---

13.
Computed, not measured: a relaxed structure of Cs3KIn at the PBE level of DFT.

The structure in POSCAR format:
```
Cs3KIn
1.0
7.641 0.000 0.000
0.000 7.641 0.000
0.000 0.000 7.641
Cs K In
3 1 1
Cartesian
0.000 0.000 3.820
0.000 3.820 0.000
3.820 0.000 0.000
3.820 3.820 3.820
0.000 0.000 0.000
```

## Properties
The symmetry is Pm-3m. Its calculated volume is 89.21 Å³ per atom. As for the crystal system: cubic. The value obtained for the density is 2.06 g/cm3. The calculation puts the formation energy from the elements at 103 meV/atom. As for the energy above the lowest structure with this stoichiometry: 0.000 eV per formula unit. The electronic total energy is -5.88 eV per formula unit.

---

14.
Computed, not measured: a relaxed structure of Cr4FeCo at the PBE level of DFT.

The structure in POSCAR format:
```
Cr4FeCo
1.0
0.000 3.270 3.270
3.270 0.000 3.270
3.270 3.270 0.000
Cr Fe Co
4 1 1
Cartesian
0.817 0.817 0.817
2.453 2.453 0.817
2.453 0.817 2.453
0.817 2.453 2.453
4.905 4.905 4.905
3.270 3.270 3.270
```

## Properties
The symmetry is F-43m. Its calculated volume is 11.65 Å³ per atom. As for the crystal system: cubic. The value obtained for the density is 7.66 g/cm3. The calculation puts the formation energy from the elements at 271 meV/atom. The electronic total energy is -52.43 eV per formula unit.

---

15.
Computed, not measured: a relaxed structure of SmMg6Sn6 at the PBE level of DFT.

The structure in POSCAR format:
```
SmMg6Sn6
1.0
6.253 0.000 0.000
-3.126 5.415 0.000
0.000 0.000 9.424
Sm Mg Sn
1 6 6
Cartesian
0.000 0.000 0.000
-1.563 2.708 2.303
-1.563 2.708 7.121
3.126 0.000 2.303
3.126 0.000 7.121
1.563 2.708 2.303
1.563 2.708 7.121
0.000 0.000 3.223
0.000 0.000 6.201
0.000 3.610 0.000
0.000 3.610 4.712
3.126 1.805 0.000
3.126 1.805 4.712
```

## Properties
The symmetry is P6/mmm. Its calculated volume is 24.54 Å³ per atom. As for the crystal system: hexagonal. The value obtained for the density is 5.25 g/cm3. The calculation puts the formation energy from the elements at -186 meV/atom. The electronic total energy is -40.72 eV per formula unit.

---

16.
Computed, not measured: a relaxed structure of La2Y2Hg at the PBE level of DFT.

The structure in POSCAR format:
```
La2Y2Hg
1.0
-1.846 1.846 11.595
1.846 -1.846 11.595
1.846 1.846 -11.595
La Y Hg
2 2 1
Cartesian
0.000 0.000 4.477
0.000 0.000 18.713
0.000 0.000 9.699
0.000 0.000 13.490
0.000 0.000 0.000
```

## Properties
The symmetry is I4/mmm. Its calculated volume is 31.60 Å³ per atom. As for the crystal system: tetragonal. The value obtained for the density is 6.90 g/cm3. The calculation puts the formation energy from the elements at -193 meV/atom. As for the energy above the lowest structure with this stoichiometry: 0.000 eV per formula unit. The electronic total energy is -24.05 eV per formula unit.

---

17.
Computed, not measured: a relaxed structure of BaSi2Br at the PBE level of DFT.

The structure in POSCAR format:
```
BaSi2Br
1.0
6.623 -1.985 0.000
6.623 1.985 0.000
-0.165 0.000 5.314
Ba Si Br
1 2 1
Cartesian
0.000 0.000 0.000
3.608 0.000 4.993
9.471 0.000 0.321
6.540 0.000 2.657
```

## Properties
The symmetry is C2/m. Its calculated volume is 34.94 Å³ per atom. As for the crystal system: monoclinic. The value obtained for the density is 3.25 g/cm3. As for the energy above the lowest structure with this stoichiometry: 0.575 eV per formula unit. The calculation puts the uncorrected formation energy at -172 kJ/mol of formula units. The electronic total energy is -16.22 eV per formula unit.

---

18.
Computed, not measured: a relaxed structure of V2MoPd at the PBE level of DFT.

The structure in POSCAR format:
```
V2MoPd
1.0
3.104 0.000 0.000
0.000 3.104 0.000
0.000 0.000 6.068
V Mo Pd
2 1 1
Cartesian
0.000 0.000 1.410
0.000 0.000 4.658
1.552 1.552 0.000
1.552 1.552 3.034
```

## Properties
The symmetry is P4/mmm. Its calculated volume is 14.62 Å³ per atom. As for the crystal system: tetragonal. The value obtained for the density is 8.64 g/cm3. The calculation puts the formation energy from the elements at -113 meV/atom. The electronic total energy is -34.71 eV per formula unit.

---

19.
Computed, not measured: a relaxed structure of Y2TlFe at the PBE level of DFT.

The structure in POSCAR format:
```
Y2TlFe
1.0
3.552 0.000 0.000
0.000 3.552 0.000
0.000 0.000 7.813
Y Tl Fe
2 1 1
Cartesian
0.000 0.000 0.000
1.776 1.776 2.615
1.776 1.776 5.759
0.000 0.000 4.326
```

## Properties
The symmetry is P4mm. Its calculated volume is 24.65 Å³ per atom. As for the crystal system: tetragonal. The value obtained for the density is 7.38 g/cm3. The calculation puts the formation energy from the elements at 132 meV/atom. The electronic total energy is -23.23 eV per formula unit.

---

20.
Computed, not measured: a relaxed structure of Be2AlWS at the PBE level of DFT.

The structure in POSCAR format:
```
Be2AlWS
1.0
4.406 0.000 0.000
0.000 4.406 0.000
0.000 0.000 4.980
Be Al W S
2 1 1 1
Cartesian
0.000 2.203 0.000
2.203 0.000 0.000
0.000 0.000 2.490
0.000 0.000 0.000
2.203 2.203 2.490
```

## Properties
The symmetry is P4/mmm. Its calculated volume is 19.33 Å³ per atom. As for the crystal system: tetragonal. The value obtained for the density is 4.48 g/cm3. The calculation puts the uncorrected formation energy at 751 kJ/mol of formula units. The electronic total energy is -20.49 eV per formula unit.